Entry 1:
Computed, not measured: a relaxed ZrGeO6 crystal at the PBE level of DFT.

Its formation energy without anion corrections is -1217 meV/atom. The density of states at the Fermi level is 0.77 states/eV/atom.

The space group is Fm-3m (No. 225) and the conventional cell measures 7.922, 7.922 and 7.922 Å, with angles of 90.00, 90.00 and 90.00 degrees. The asymmetric unit holds Zr at (0.000, 0.000, 0.000), Ge at (0.000, 0.000, 0.500) and O at (0.000, 0.000, 0.264).



Entry 2:
Computed, not measured: a relaxed ZrGeO3 crystal at the PBE level of DFT.

Its formation energy without anion corrections is -1292 meV/atom. The density of states at the Fermi level is 0.80 states/eV/atom.

The space group is Pm-3m (No. 221) and the conventional cell measures 3.812, 3.812 and 3.812 Å, with angles of 90.00, 90.00 and 90.00 degrees. The asymmetric unit holds Zr at (0.000, 0.000, 0.000), Ge at (0.500, 0.500, 0.500) and O at (0.000, 0.500, 0.500).



Entry 3:
Computed, not measured: a relaxed ZrGe2O6 crystal at the PBE level of DFT.

Its formation energy without anion corrections is -2185 meV/atom. The density of states at the Fermi level is 0.00 states/eV/atom.

The space group is C2/c (No. 15) and the conventional cell measures 10.417, 9.474 and 5.718 Å, with angles of 90.00, 109.28 and 90.00 degrees. The asymmetric unit holds Zr at (0.000, 0.111, 0.250), Ge at (0.203, 0.419, 0.254), O at (0.115, 0.061, 0.629), O at (0.135, 0.488, 0.953) and O at (0.145, 0.245, 0.234).



Entry 4:
Computed, not measured: a relaxed Zr2GeO crystal at the PBE level of DFT.

Its formation energy without anion corrections is -821 meV/atom. For the polymorph energy (0 for the lowest one), the calculation gives 338 meV/atom. The density of states at the Fermi level is 0.88 states/eV/atom.

The space group is Fm-3m (No. 225) and the conventional cell measures 6.403, 6.403 and 6.403 Å, with angles of 90.00, 90.00 and 90.00 degrees. The asymmetric unit holds Zr at (0.250, 0.250, 0.250), Ge at (0.000, 0.000, 0.000) and O at (0.000, 0.000, 0.500).



Entry 5:
Computed, not measured: a relaxed Zr2Ge2O crystal at the PBE level of DFT.

Its formation energy without anion corrections is -441 meV/atom. For the polymorph energy (0 for the lowest one), the calculation gives 683 meV/atom. The density of states at the Fermi level is 0.47 states/eV/atom.

The space group is I4/mmm (No. 139) and the conventional cell measures 3.481, 3.481 and 14.473 Å, with angles of 90.00, 90.00 and 90.00 degrees. The asymmetric unit holds Zr at (0.000, 0.000, 0.100), Ge at (0.000, 0.500, 0.250) and O at (0.000, 0.000, 0.500).



Entry 6:
Computed, not measured: a relaxed ZrGe3O crystal at the PBE level of DFT.

Its formation energy without anion corrections is 918 meV/atom. For the polymorph energy (0 for the lowest one), the calculation gives 1210 meV/atom. The density of states at the Fermi level is 1.18 states/eV/atom.

The space group is Pm-3m (No. 221) and the conventional cell measures 5.206, 5.206 and 5.206 Å, with angles of 90.00, 90.00 and 90.00 degrees. The asymmetric unit holds Zr at (0.000, 0.000, 0.000), Ge at (0.000, 0.000, 0.500) and O at (0.500, 0.500, 0.500).



Entry 7:
Computed, not measured: a relaxed ZrGeO3 crystal at the PBE level of DFT.

Its formation energy without anion corrections is -1973 meV/atom. The density of states at the Fermi level is 0.00 states/eV/atom.

The space group is Pm-3m (No. 221) and the conventional cell measures 4.119, 4.119 and 4.119 Å, with angles of 90.00, 90.00 and 90.00 degrees. The asymmetric unit holds Zr at (0.000, 0.000, 0.000), Ge at (0.500, 0.500, 0.500) and O at (0.000, 0.000, 0.500).



Entry 8:
Computed, not measured: a relaxed GeOs4 crystal at the PBE level of DFT.

The formation enthalpy at 0 K comes out at 2.132 eV/atom. The density of states at the Fermi level is 1.43 states/eV/atom.

The space group is Pm-3m (No. 221) and the conventional cell measures 4.431, 4.431 and 4.431 Å, with angles of 90.00, 90.00 and 90.00 degrees. The asymmetric unit holds Ge at (0.000, 0.000, 0.000), Os at (0.000, 0.000, 0.500) and Os at (0.500, 0.500, 0.500).



Entry 9:
Computed, not measured: a relaxed Ge7Os3 crystal at the PBE level of DFT.

The formation enthalpy at 0 K comes out at -0.045 eV/atom. The density of states at the Fermi level is 0.54 states/eV/atom.

The space group is Im-3m (No. 229) and the conventional cell measures 8.797, 8.797 and 8.797 Å, with angles of 90.00, 90.00 and 90.00 degrees. The asymmetric unit holds Ge at (0.000, 0.250, 0.500), Ge at (0.160, 0.160, 0.160) and Os at (0.000, 0.000, 0.341).



Entry 10:
Computed, not measured: a relaxed Ge2Os crystal at the PBE level of DFT.

The formation enthalpy at 0 K comes out at 0.356 eV/atom. For the polymorph energy (0 for the lowest one), the calculation gives 442 meV/atom. The density of states at the Fermi level is 0.62 states/eV/atom.

The space group is C2/m (No. 12) and the conventional cell measures 4.784, 4.781 and 4.727 Å, with angles of 90.00, 120.08 and 90.00 degrees. The asymmetric unit holds Ge at (0.161, 0.000, 0.323) and Os at (0.000, 0.500, 0.000).



Entry 11:
Computed, not measured: a relaxed Ge2Os crystal at the PBE level of DFT.

The formation enthalpy at 0 K comes out at 0.106 eV/atom. For the polymorph energy (0 for the lowest one), the calculation gives 192 meV/atom. The density of states at the Fermi level is 0.61 states/eV/atom.

The space group is Cmce (No. 64) and the conventional cell measures 11.648, 5.882 and 5.890 Å, with angles of 90.00, 90.00 and 90.00 degrees. The asymmetric unit holds Ge at (0.000, 0.148, 0.149), Ge at (0.250, 0.245, 0.750) and Os at (0.118, 0.000, 0.500).



Entry 12:
Computed, not measured: a relaxed Ge2Os crystal at the PBE level of DFT.

The formation enthalpy at 0 K comes out at -0.086 eV/atom. For the polymorph energy (0 for the lowest one), the calculation gives 0 meV/atom. The density of states at the Fermi level is 0.13 states/eV/atom.

The space group is C2/m (No. 12) and the conventional cell measures 9.092, 3.130 and 7.752 Å, with angles of 90.00, 119.15 and 90.00 degrees. The asymmetric unit holds Ge at (0.101, 0.000, 0.389), Ge at (0.144, 0.500, 0.032) and Os at (0.154, 0.500, 0.701).



Entry 13:
Computed, not measured: a relaxed Ge4Os crystal at the PBE level of DFT.

The formation enthalpy at 0 K comes out at 0.532 eV/atom. The density of states at the Fermi level is 1.27 states/eV/atom.

The space group is Pm-3m (No. 221) and the conventional cell measures 4.813, 4.813 and 4.813 Å, with angles of 90.00, 90.00 and 90.00 degrees. The asymmetric unit holds Ge at (0.000, 0.000, 0.000), Ge at (0.000, 0.500, 0.500) and Os at (0.500, 0.500, 0.500).



Entry 14:
Computed, not measured: a relaxed GePOs2 crystal at the PBE level of DFT.

The formation enthalpy at 0 K comes out at 0.199 eV/atom. For the polymorph energy (0 for the lowest one), the calculation gives 0 meV/atom. The density of states at the Fermi level is 0.38 states/eV/atom.

The space group is Fm-3m (No. 225) and the conventional cell measures 6.026, 6.026 and 6.026 Å, with angles of 90.00, 90.00 and 90.00 degrees. The asymmetric unit holds Ge at (0.000, 0.000, 0.000), P at (0.000, 0.000, 0.500) and Os at (0.250, 0.250, 0.250).



Entry 15:
Computed, not measured: a relaxed GeP3Os crystal at the PBE level of DFT.

The formation enthalpy at 0 K comes out at 0.800 eV/atom. The density of states at the Fermi level is 1.00 states/eV/atom.

The space group is Pm-3m (No. 221) and the conventional cell measures 4.627, 4.627 and 4.627 Å, with angles of 90.00, 90.00 and 90.00 degrees. The asymmetric unit holds Ge at (0.000, 0.000, 0.000), P at (0.000, 0.500, 0.500) and Os at (0.500, 0.500, 0.500).



Entry 16:
Computed, not measured: a relaxed Ge3POs crystal at the PBE level of DFT.

The formation enthalpy at 0 K comes out at 0.551 eV/atom. For the polymorph energy (0 for the lowest one), the calculation gives 0 meV/atom. The density of states at the Fermi level is 0.84 states/eV/atom.

The space group is Pm-3m (No. 221) and the conventional cell measures 4.775, 4.775 and 4.775 Å, with angles of 90.00, 90.00 and 90.00 degrees. The asymmetric unit holds Ge at (0.000, 0.000, 0.500), P at (0.500, 0.500, 0.500) and Os at (0.000, 0.000, 0.000).



Entry 17:
Computed, not measured: a relaxed GePOs2 crystal at the PBE level of DFT.

The formation enthalpy at 0 K comes out at 0.461 eV/atom. For the polymorph energy (0 for the lowest one), the calculation gives 262 meV/atom. The density of states at the Fermi level is 1.03 states/eV/atom.

The space group is I-42d (No. 122) and the conventional cell measures 5.420, 5.420 and 10.636 Å, with angles of 90.00, 90.00 and 90.00 degrees. The asymmetric unit holds Ge at (0.000, 0.000, 0.000), P at (0.000, 0.000, 0.500) and Os at (0.223, 0.250, 0.625).



Entry 18:
Computed, not measured: a relaxed Ge3POs crystal at the PBE level of DFT.

The formation enthalpy at 0 K comes out at 1.324 eV/atom. For the polymorph energy (0 for the lowest one), the calculation gives 772 meV/atom. The density of states at the Fermi level is 0.98 states/eV/atom.

The space group is Pm-3m (No. 221) and the conventional cell measures 4.590, 4.590 and 4.590 Å, with angles of 90.00, 90.00 and 90.00 degrees. The asymmetric unit holds Ge at (0.000, 0.000, 0.500), P at (0.000, 0.000, 0.000) and Os at (0.500, 0.500, 0.500).



Entry 19:
Computed, not measured: a relaxed Ge2POsPt crystal at the PBE level of DFT.

The formation enthalpy at 0 K comes out at 0.927 eV/atom. The density of states at the Fermi level is 1.31 states/eV/atom.

The space group is P4/mmm (No. 123) and the conventional cell measures 4.663, 4.663 and 5.051 Å, with angles of 90.00, 90.00 and 90.00 degrees. The asymmetric unit holds Ge at (0.000, 0.500, 0.000), P at (0.000, 0.000, 0.500), Os at (0.500, 0.500, 0.000) and Pt at (0.500, 0.500, 0.500).



Entry 20:
Computed, not measured: a relaxed Re2GePOs crystal at the PBE level of DFT.

The formation enthalpy at 0 K comes out at 1.078 eV/atom. The density of states at the Fermi level is 1.08 states/eV/atom.

The space group is P4/mmm (No. 123) and the conventional cell measures 4.433, 4.433 and 4.353 Å, with angles of 90.00, 90.00 and 90.00 degrees. The asymmetric unit holds Re at (0.000, 0.500, 0.000), Ge at (0.000, 0.000, 0.500), P at (0.500, 0.500, 0.000) and Os at (0.500, 0.500, 0.500).